No. 1
NaSc3Hg4 | PBE | relaxed

Summary:
E_form = -0.363 eV per atom

a = 3.5271 Å, b = 3.5271 Å, c = 14.5483 Å
α = 90.00°, β = 90.00°, γ = 90.00°
Fractional coordinates of all 8 atoms:
Na1 0.0000 0.0000 0.0000
Sc1 0.0000 0.0000 0.2567
Sc2 0.0000 0.0000 0.5000
Sc3 0.0000 0.0000 0.7433
Hg1 0.5000 0.5000 0.1431
Hg2 0.5000 0.5000 0.3802
Hg3 0.5000 0.5000 0.6198
Hg4 0.5000 0.5000 0.8569

***

No. 2
NaSc3Hg | PBE | relaxed

Summary:
E_form = 0.384 eV per atom
energy relative to the lowest polymorph listed for this composition = 0.0000 eV/atom

a = 5.4117 Å, b = 5.4117 Å, c = 5.4117 Å
α = 90.00°, β = 90.00°, γ = 90.00°
Fractional coordinates of all 5 atoms:
Na1 0.0000 0.0000 0.0000
Sc1 0.0000 0.5000 0.5000
Sc2 0.5000 0.0000 0.5000
Sc3 0.5000 0.5000 0.0000
Hg1 0.5000 0.5000 0.5000

***

No. 3
NaScHg3 | PBE | relaxed

Summary:
E_form = 0.103 eV per atom
energy relative to the lowest polymorph listed for this composition = 0.0000 eV/atom

a = 5.5740 Å, b = 5.5740 Å, c = 5.5740 Å
α = 90.00°, β = 90.00°, γ = 90.00°
Fractional coordinates of all 5 atoms:
Na1 0.0000 0.0000 0.0000
Sc1 0.5000 0.5000 0.5000
Hg1 0.0000 0.5000 0.5000
Hg2 0.5000 0.0000 0.5000
Hg3 0.5000 0.5000 0.0000

***

No. 4
NaSc2Hg9 | PBE | relaxed

Summary:
E_form = -0.189 eV per atom

a = 4.5274 Å, b = 4.5274 Å, c = 13.4846 Å
α = 90.00°, β = 90.00°, γ = 90.00°
Fractional coordinates of all 12 atoms:
Na1 0.0000 0.0000 0.0000
Sc1 0.0000 0.0000 0.3356
Sc2 0.0000 0.0000 0.6644
Hg1 0.0000 0.5000 0.1752
Hg2 0.0000 0.5000 0.5000
Hg3 0.0000 0.5000 0.8248
Hg4 0.5000 0.0000 0.1752
Hg5 0.5000 0.0000 0.5000
Hg6 0.5000 0.0000 0.8248
Hg7 0.5000 0.5000 0.0000
Hg8 0.5000 0.5000 0.3402
Hg9 0.5000 0.5000 0.6598